Below is a relaxed structure of KLi2Ag, with properties calculated at the PBE-GGA level.

Output
**Formation enthalpy at 0 K**: 0.052 eV/atom
**D(E_F)**: 3.7 states/eV/cell
**Total magnetization**: 0.000 μB per atom
**DFT total energy**: -15.1 eV/cell

abc: 3.405 4.329 15.963
angles: 90.00 90.00 90.00
Fractional coordinates of all 8 atoms:
1 K 0.000 0.000 0.000
2 K 0.500 0.500 0.500
3 Li 0.000 0.000 0.675
4 Li 0.000 0.500 0.801
5 Li 0.500 0.000 0.301
6 Li 0.500 0.500 0.175
7 Ag 0.000 0.500 0.307
8 Ag 0.500 0.000 0.807